Computed, not measured: an optimized crystal structure of MgMoH2Cl at the GGA-PBEsol level of DFT.

```
MgMoH2Cl
1.0
3.636 0.000 0.000
0.000 3.636 0.000
0.000 0.000 4.737
Mg Mo H Cl
1 1 2 1
Direct
0.000 0.000 0.000
0.500 0.500 0.500
0.000 0.500 0.500
0.500 0.000 0.500
0.500 0.500 0.000
```

Calculated values
- space-group type = No. 123
- DOS at the Fermi energy (states/eV/atom) = 0.53
- VASP energy (eV for the cell shown) = -20.967

Computed, not measured: an optimized crystal structure of MgH16Cl2O8 at the GGA-PBEsol level of DFT.

```
MgH16Cl2O8
1.0
6.650 0.000 0.000
0.000 13.599 0.000
0.000 0.000 11.524
Mg H Cl O
4 64 8 32
Direct
0.000 0.000 0.000
0.000 0.500 0.500
0.500 0.000 0.500
0.500 0.500 0.000
0.005 0.083 0.218
0.005 0.417 0.718
0.021 0.033 0.766
0.021 0.467 0.266
0.022 0.184 0.720
0.022 0.316 0.220
0.091 0.690 0.557
0.091 0.810 0.057
0.148 0.123 0.624
0.148 0.377 0.124
0.156 0.597 0.922
0.156 0.903 0.422
0.174 0.612 0.057
0.174 0.888 0.557
0.250 0.157 0.459
0.250 0.343 0.959
0.250 0.657 0.459
0.250 0.843 0.959
0.326 0.112 0.057
0.326 0.388 0.557
0.344 0.097 0.922
0.344 0.403 0.422
0.352 0.623 0.624
0.352 0.877 0.124
0.409 0.190 0.557
0.409 0.310 0.057
0.478 0.684 0.720
0.478 0.816 0.220
0.479 0.533 0.766
0.479 0.967 0.266
0.495 0.583 0.218
0.495 0.917 0.718
0.505 0.083 0.282
0.505 0.417 0.782
0.521 0.033 0.734
0.521 0.467 0.234
0.522 0.184 0.780
0.522 0.316 0.280
0.591 0.690 0.943
0.591 0.810 0.443
0.648 0.123 0.876
0.648 0.377 0.376
0.656 0.597 0.578
0.656 0.903 0.078
0.674 0.612 0.443
0.674 0.888 0.943
0.750 0.157 0.041
0.750 0.343 0.541
0.750 0.657 0.041
0.750 0.843 0.541
0.826 0.112 0.443
0.826 0.388 0.943
0.844 0.097 0.578
0.844 0.403 0.078
0.852 0.623 0.876
0.852 0.877 0.376
0.909 0.190 0.943
0.909 0.310 0.443
0.978 0.684 0.780
0.978 0.816 0.280
0.979 0.533 0.734
0.979 0.967 0.234
0.995 0.583 0.282
0.995 0.917 0.782
0.035 0.201 0.340
0.035 0.299 0.840
0.465 0.701 0.340
0.465 0.799 0.840
0.535 0.201 0.160
0.535 0.299 0.660
0.965 0.701 0.160
0.965 0.799 0.660
0.012 0.522 0.326
0.012 0.978 0.826
0.023 0.122 0.675
0.023 0.378 0.175
0.170 0.633 0.527
0.170 0.867 0.027
0.243 0.582 0.991
0.243 0.918 0.491
0.257 0.082 0.991
0.257 0.418 0.491
0.330 0.133 0.527
0.330 0.367 0.027
0.477 0.622 0.675
0.477 0.878 0.175
0.488 0.022 0.326
0.488 0.478 0.826
0.512 0.522 0.174
0.512 0.978 0.674
0.523 0.122 0.825
0.523 0.378 0.325
0.670 0.633 0.973
0.670 0.867 0.473
0.743 0.582 0.509
0.743 0.918 0.009
0.757 0.082 0.509
0.757 0.418 0.009
0.830 0.133 0.973
0.830 0.367 0.473
0.977 0.622 0.825
0.977 0.878 0.325
0.988 0.022 0.174
0.988 0.478 0.674
```

Calculated values
- space-group type = No. 61
- DOS at the Fermi energy (states/eV/atom) = 0.00
- VASP energy (eV for the cell shown) = -529.617